A geometry-optimized HfAg3Sn structure. Source: Alexandria via LeMat-Bulk, functional PBE.

Lattice parameters (Å, degrees): 5.2422 5.2422 5.2422 90.00 90.00 90.00
Positions (direct):
Ag 0.0000 0.5000 0.0000
Ag 0.0000 0.0000 0.5000
Ag 0.5000 0.0000 0.0000
Sn 0.5000 0.5000 0.5000
Hf 0.0000 0.0000 0.0000

Values from the calculation:
The symmetry is Pm-3m (221). Its total magnetic moment is 0.00 μB per cell. The density is 7156 kg/m3. As for the energy above the most stable polymorph in this dataset: 107 meV/atom. The value obtained for the formation energy is 1067 meV per atom.